## ZrCd (PBE)

Data for a geometry-optimized ZrCd structure.

## Properties
Mass density, g/cm³: 7.7
Raw total energy, eV per cell: -114.58
Crystal system: orthorhombic

Unit cell a=6.9734 b=15.1160 c=5.0037 alpha=90.00 beta=90.00 gamma=90.00
Sites, in units of the cell vectors:
Zr 0.1215 0.1698 0.2500
Zr 0.1215 0.3302 0.7500
Zr 0.3718 0.6660 0.2500
Zr 0.3718 0.8340 0.7500
Zr 0.3770 0.1762 0.7500
Zr 0.3770 0.3238 0.2500
Zr 0.6230 0.6762 0.7500
Zr 0.6230 0.8238 0.2500
Zr 0.6282 0.1660 0.2500
Zr 0.6282 0.3340 0.7500
Zr 0.8785 0.6698 0.2500
Zr 0.8785 0.8302 0.7500
Cd 0.1192 0.0081 0.7500
Cd 0.1192 0.4919 0.2500
Cd 0.1306 0.6663 0.7500
Cd 0.1306 0.8337 0.2500
Cd 0.3707 0.9997 0.2500
Cd 0.3707 0.5003 0.7500
Cd 0.6293 0.0003 0.7500
Cd 0.6293 0.4997 0.2500
Cd 0.8694 0.1663 0.7500
Cd 0.8694 0.3337 0.2500
Cd 0.8808 0.5081 0.7500
Cd 0.8808 0.9919 0.2500

***

## Zr2Cd (PBE)

Data for a geometry-optimized Zr2Cd structure.

## Properties
Mass density, g/cm³: 7.3
Raw total energy, eV per cell: -35.64
Crystal system: hexagonal

Unit cell a=5.4104 b=5.4104 c=5.2760 alpha=90.00 beta=90.00 gamma=120.00
Sites, in units of the cell vectors:
Zr 0.0000 0.0000 0.0000
Zr 0.0000 0.3498 0.5000
Zr 0.3498 0.0000 0.5000
Zr 0.6502 0.6502 0.5000
Cd 0.3333 0.6667 0.0000
Cd 0.6667 0.3333 0.0000

***

## ZrCd (PBE)

Data for a geometry-optimized ZrCd structure.

## Properties
Mass density, g/cm³: 7.7
Raw total energy, eV per cell: -56.71
Crystal system: orthorhombic

Unit cell a=5.0436 b=9.7299 c=5.3672 alpha=90.00 beta=90.00 gamma=90.00
Sites, in units of the cell vectors:
Zr 0.0000 0.0776 0.0000
Zr 0.0000 0.4160 0.9575
Zr 0.0000 0.5840 0.4575
Zr 0.0000 0.9224 0.5000
Zr 0.5000 0.4102 0.3334
Zr 0.5000 0.5898 0.8334
Cd 0.0000 0.2424 0.4847
Cd 0.0000 0.7576 0.9847
Cd 0.5000 0.0818 0.3388
Cd 0.5000 0.2458 0.8381
Cd 0.5000 0.7542 0.3381
Cd 0.5000 0.9182 0.8388

***

## Zr2Cd (PBE)

Data for a geometry-optimized Zr2Cd structure.

## Properties
Mass density, g/cm³: 7.3
Raw total energy, eV per cell: -36.29
Crystal system: orthorhombic

Unit cell a=5.8230 b=5.8230 c=5.0191 alpha=90.00 beta=90.00 gamma=51.90
Sites, in units of the cell vectors:
Zr 0.0535 0.6164 0.7500
Zr 0.3836 0.9465 0.7500
Zr 0.6164 0.0535 0.2500
Zr 0.9465 0.3836 0.2500
Cd 0.2883 0.7117 0.2500
Cd 0.7117 0.2883 0.7500